A plane-wave DFT calculation with PBE was carried out for TlIr3I after structural relaxation.

POSCAR file:
```
TlIr3I
1.0
4.942 0.000 0.000
0.000 4.942 0.000
0.000 0.000 4.942
Tl Ir I
1 3 1
Direct
0.000 0.000 0.000
0.000 0.500 0.500
0.500 0.000 0.500
0.500 0.500 0.000
0.500 0.500 0.500
```

Calculated values
Total energy   -4.27 eV/atom
SG   Pm-3m
Magnetization   2.0 μB/f.u.
E above lowest polymorph   0.000 eV/atom